1.
## Na3LaNd2Se6 (GGA-PBE)

Data for a relaxed structure of Na3LaNd2Se6.

Calculated values
Magnetic moment   0.00 μB per formula unit
Energy relative to the elements, uncorrected   -1.708 eV/atom

POSCAR file:
```
Na3LaNd2Se6
1.0
-2.185 2.319 6.769
-3.456 -5.771 -3.273
6.422 -3.258 1.812
Nd Na Se La
2 3 6 1
direct
0.333 0.667 0.000 Nd
0.667 0.333 0.000 Nd
0.500 0.500 0.500 Na
0.833 0.167 0.500 Na
0.167 0.833 0.500 Na
0.742 0.742 0.237 Se
0.258 0.258 0.763 Se
0.416 0.079 0.236 Se
0.079 0.416 0.236 Se
0.921 0.584 0.764 Se
0.584 0.921 0.764 Se
0.000 0.000 0.000 La
```

***

2.
## AgHgBr3 (GGA-PBE)

Data for a relaxed structure of AgHgBr3.

Calculated values
Magnetic moment   0.00 μB per formula unit
E above lowest polymorph   15 meV per atom
Energy relative to the elements, uncorrected   -0.372 eV/atom

POSCAR file:
```
AgHgBr3
1.0
8.295 0.000 0.000
0.000 7.122 -0.800
0.000 1.190 12.156
Br Ag Hg
12 4 4
direct
0.147 0.251 0.906 Br
0.637 0.224 0.932 Br
0.353 0.751 0.406 Br
0.039 0.236 0.241 Br
0.961 0.764 0.759 Br
0.539 0.264 0.259 Br
0.647 0.249 0.594 Br
0.853 0.749 0.094 Br
0.863 0.724 0.432 Br
0.461 0.736 0.741 Br
0.363 0.776 0.068 Br
0.137 0.276 0.568 Br
0.606 0.503 0.095 Ag
0.394 0.497 0.905 Ag
0.894 0.003 0.595 Ag
0.106 0.997 0.405 Ag
0.649 0.003 0.139 Hg
0.851 0.503 0.639 Hg
0.149 0.497 0.361 Hg
0.351 0.997 0.861 Hg
```

***

3.
## AlAg4Sn (GGA-PBE)

Data for a relaxed structure of AlAg4Sn.

Calculated values
Magnetic moment   0.00 μB per formula unit
E above lowest polymorph   11 meV per atom
Formation enthalpy at 0 K   0.024 eV/atom

POSCAR file:
```
AlAg4Sn
1.0
4.956 0.000 1.321
0.000 7.952 0.000
1.236 0.000 6.136
Ag Sn Al
8 2 2
direct
0.094 0.344 0.837 Ag
0.594 0.156 0.837 Ag
0.883 0.833 0.628 Ag
0.617 0.333 0.372 Ag
0.383 0.667 0.628 Ag
0.117 0.167 0.372 Ag
0.906 0.656 0.163 Ag
0.406 0.844 0.163 Ag
0.000 0.000 0.000 Sn
0.500 0.500 0.000 Sn
0.500 0.000 0.500 Al
0.000 0.500 0.500 Al
```

***

4.
## Na2Be2TeO6 (GGA-PBE)

Data for a relaxed structure of Na2Be2TeO6.

Calculated values
Magnetic moment   0.00 μB per formula unit
Energy relative to the elements, uncorrected   -1.788 eV/atom

POSCAR file:
```
Na2Be2TeO6
1.0
-2.031 1.255 4.517
-0.110 -4.854 -1.590
5.160 -0.965 2.588
Na O Te Be
2 6 1 2
direct
0.333 0.667 0.377 Na
0.667 0.333 0.623 Na
0.068 0.727 0.808 O
0.341 0.068 0.192 O
0.659 0.932 0.808 O
0.273 0.341 0.808 O
0.727 0.659 0.192 O
0.932 0.273 0.192 O
0.000 0.000 0.000 Te
0.667 0.333 0.149 Be
0.333 0.667 0.851 Be
```

***

5.
## CaSnF3 (GGA-PBE)

Data for a relaxed structure of CaSnF3.

Calculated values
Magnetic moment   0.00 μB per formula unit
Energy relative to the elements, uncorrected   -2.015 eV/atom

POSCAR file:
```
CaSnF3
1.0
4.730 0.000 0.000
0.000 4.730 0.000
0.000 0.000 4.730
F Ca Sn
3 1 1
direct
0.000 0.000 0.500 F
0.500 0.000 0.000 F
0.000 0.500 0.000 F
0.500 0.500 0.500 Ca
0.000 0.000 0.000 Sn
```

***

6.
## Pm2NdI6 (GGA-PBE)

Data for a relaxed structure of Pm2NdI6.

Calculated values
Magnetic moment   0.00 μB per formula unit
E above lowest polymorph   58 meV per atom
Energy relative to the elements, uncorrected   -1.230 eV/atom

POSCAR file:
```
Pm2NdI6
1.0
-6.074 2.835 -3.775
-0.174 -0.174 -7.689
-5.251 -5.610 -3.603
I Pm Nd
6 2 1
direct
0.784 0.425 0.691 I
0.425 0.099 0.691 I
0.934 0.253 0.198 I
0.099 0.784 0.691 I
0.253 0.616 0.198 I
0.616 0.934 0.198 I
0.683 0.683 0.951 Pm
0.518 0.518 0.445 Pm
0.353 0.353 0.940 Nd
```

***

7.
## Sc6MnTe2 (GGA-PBE)

Data for a relaxed structure of Sc6MnTe2.

Calculated values
Magnetic moment   0.01 μB per formula unit
Energy relative to the elements, uncorrected   -0.594 eV/atom

POSCAR file:
```
Sc6MnTe2
1.0
-0.774 3.512 1.366
-6.073 0.491 -4.701
-0.831 -2.933 7.066
Te Sc Mn
2 6 1
direct
0.000 0.667 0.333 Te
0.000 0.333 0.667 Te
0.500 0.616 0.000 Sc
0.500 0.000 0.616 Sc
0.000 0.000 0.232 Sc
0.000 0.232 0.000 Sc
0.500 0.384 0.384 Sc
0.000 0.768 0.768 Sc
0.500 0.000 0.000 Mn
```

***

8.
## Mn5Cd (GGA-PBE)

Data for a relaxed structure of Mn5Cd.

Calculated values
Magnetic moment   1.96 μB per formula unit
E above lowest polymorph   0 meV per atom
Formation enthalpy at 0 K   0.295 eV/atom

POSCAR file:
```
Mn5Cd
1.0
4.683 0.331 0.980
1.648 -1.320 4.307
2.645 -3.977 0.440
Mn Cd
5 1
direct
0.750 0.750 0.750 Mn
0.375 0.375 0.375 Mn
0.375 0.876 0.375 Mn
0.375 0.375 0.876 Mn
0.876 0.375 0.375 Mn
0.000 0.000 0.000 Cd
```

***

9.
## VZnTcOs (GGA-PBE)

Data for a relaxed structure of VZnTcOs.

Calculated values
Magnetic moment   0.00 μB per formula unit
Formation enthalpy at 0 K   -0.029 eV/atom

POSCAR file:
```
VZnTcOs
1.0
4.282 0.000 0.000
2.141 3.708 0.000
2.141 1.236 3.496
Os Zn Tc V
1 1 1 1
direct
0.000 0.000 0.000 Os
0.250 0.250 0.250 Zn
0.500 0.500 0.500 Tc
0.750 0.750 0.750 V
```

***

10.
## Si2MoCl2 (GGA-PBE)

Data for a relaxed structure of Si2MoCl2.

Calculated values
Magnetic moment   0.01 μB per formula unit
E above lowest polymorph   194 meV per atom
Energy relative to the elements, uncorrected   0.611 eV/atom

POSCAR file:
```
Si2MoCl2
1.0
3.396 0.000 0.000
0.000 3.396 0.000
1.698 1.698 9.973
Cl Si Mo
2 2 1
direct
0.250 0.750 0.500 Cl
0.750 0.250 0.500 Cl
0.560 0.560 0.879 Si
0.440 0.440 0.121 Si
0.000 0.000 0.000 Mo
```

***

11.
## Li2Be2Pt (GGA-PBE)

Data for a relaxed structure of Li2Be2Pt.

Calculated values
Magnetic moment   0.51 μB per formula unit
E above lowest polymorph   143 meV per atom
Formation enthalpy at 0 K   0.057 eV/atom

POSCAR file:
```
Li2Be2Pt
1.0
-2.386 -1.607 -1.424
0.517 -2.496 1.951
-4.668 0.136 4.051
Be Li Pt
2 2 1
direct
0.412 0.412 0.176 Be
0.588 0.588 0.824 Be
0.750 0.250 0.500 Li
0.250 0.750 0.500 Li
0.000 0.000 0.000 Pt
```

***

12.
## PaCdRhO6 (GGA-PBE)

Data for a relaxed structure of PaCdRhO6.

Calculated values
Magnetic moment   2.05 μB per formula unit
Energy relative to the elements, uncorrected   -1.772 eV/atom

POSCAR file:
```
PaCdRhO6
1.0
-0.685 4.851 -0.879
-4.310 -0.159 2.484
4.803 2.213 8.474
O Rh Cd Pa
12 2 2 2
direct
0.195 0.805 0.480 O
0.305 0.305 0.980 O
0.805 0.195 0.480 O
0.695 0.695 0.980 O
0.222 0.778 0.843 O
0.819 0.181 0.177 O
0.681 0.681 0.677 O
0.319 0.319 0.677 O
0.181 0.819 0.177 O
0.278 0.278 0.343 O
0.722 0.722 0.343 O
0.778 0.222 0.843 O
0.500 0.500 0.832 Rh
0.000 0.000 0.332 Rh
0.500 0.500 0.167 Cd
0.000 0.000 0.667 Cd
0.000 0.000 0.999 Pa
0.500 0.500 0.499 Pa
```

***

Copy entry 4 word for word.
## Na2Be2TeO6 (GGA-PBE)

Data for a relaxed structure of Na2Be2TeO6.

Calculated values
Magnetic moment   0.00 μB per formula unit
Energy relative to the elements, uncorrected   -1.788 eV/atom

POSCAR file:
```
Na2Be2TeO6
1.0
-2.031 1.255 4.517
-0.110 -4.854 -1.590
5.160 -0.965 2.588
Na O Te Be
2 6 1 2
direct
0.333 0.667 0.377 Na
0.667 0.333 0.623 Na
0.068 0.727 0.808 O
0.341 0.068 0.192 O
0.659 0.932 0.808 O
0.273 0.341 0.808 O
0.727 0.659 0.192 O
0.932 0.273 0.192 O
0.000 0.000 0.000 Te
0.667 0.333 0.149 Be
0.333 0.667 0.851 Be
```